1.
Entry from Alexandria via LeMat-Bulk: an optimized crystal structure of MoIr3 (GGA-PBE).

a b c (Å): 3.3410 3.3410 5.4527
angles (deg): 90.00 90.00 90.00
Element x y z (fractional)
Mo 0.0000 0.0000 0.0000
Ir 0.0000 0.0000 0.5000
Ir 0.5000 0.5000 0.2546
Ir 0.5000 0.5000 0.7454

Properties
The energy of formation from the pure elements comes out at 0.1430 eV per atom.

2.
Entry from Alexandria via LeMat-Bulk: an optimized crystal structure of CuTcS2Cl (GGA-PBE).

a b c (Å): 4.5252 4.5252 5.1280
angles (deg): 90.00 90.00 90.00
Element x y z (fractional)
Cu 0.0000 0.0000 0.0000
Tc 0.5000 0.5000 0.5000
S 0.0000 0.5000 0.5000
S 0.5000 0.0000 0.5000
Cl 0.5000 0.5000 0.0000

Properties
For the calculated total energy, the calculation gives -4.5618 eV per atom.

3.
Entry from Alexandria via LeMat-Bulk: an optimized crystal structure of Th3Hg2N (GGA-PBE).

a b c (Å): 8.4836 8.4836 3.6423
angles (deg): 90.00 90.00 145.36
Element x y z (fractional)
Th 0.0000 0.0000 0.0000
Th 0.3910 0.6090 0.5000
Th 0.6090 0.3910 0.5000
Hg 0.1991 0.8009 0.0000
Hg 0.8009 0.1991 0.0000
N 0.5000 0.5000 0.0000

Properties
For the calculated total energy, the calculation gives -5.8458 eV per atom.

4.
Entry from Alexandria via LeMat-Bulk: an optimized crystal structure of Pm2ReBi (GGA-PBE).

a b c (Å): 5.0683 5.0683 3.9950
angles (deg): 90.00 90.00 90.00
Element x y z (fractional)
Pm 0.0000 0.5000 0.0000
Pm 0.5000 0.0000 0.0000
Re 0.0000 0.0000 0.5000
Bi 0.5000 0.5000 0.5000

Properties
The energy of formation from the pure elements comes out at 0.0630 eV per atom.

5.
Entry from Alexandria via LeMat-Bulk: an optimized crystal structure of LiCr2Se4 (GGA-PBE).

a b c (Å): 7.4484 7.4484 7.4484
angles (deg): 119.94 119.94 90.10
Element x y z (fractional)
Li 0.3750 0.6250 0.7500
Li 0.6250 0.3750 0.2500
Cr 0.0000 0.0000 0.0000
Cr 0.0000 0.0000 0.5000
Cr 0.0000 0.5000 0.0000
Cr 0.5000 0.0000 0.5000
Se 0.2191 0.2400 0.9791
Se 0.2392 0.7600 0.4791
Se 0.2400 0.2191 0.4791
Se 0.2400 0.7608 0.0209
Se 0.7600 0.2392 0.9791
Se 0.7600 0.7809 0.5209
Se 0.7608 0.2400 0.5209
Se 0.7809 0.7600 0.0209

Properties
For the calculated total energy, the calculation gives -5.6784 eV per atom.

6.
Entry from Alexandria via LeMat-Bulk: an optimized crystal structure of TaAlBr (GGA-PBE).

a b c (Å): 3.6814 4.1583 9.7177
angles (deg): 90.00 100.88 90.00
Element x y z (fractional)
Ta 0.0000 0.0000 0.0000
Ta 0.3962 0.0000 0.7872
Al 0.4920 0.5000 0.9823
Al 0.8967 0.5000 0.7895
Br 0.2890 0.5000 0.5649
Br 0.6231 0.0000 0.2282

Properties
For the calculated total energy, the calculation gives -5.9368 eV per atom.

7.
Entry from Alexandria via LeMat-Bulk: an optimized crystal structure of POsICl2 (GGA-PBE).

a b c (Å): 4.8514 4.8514 4.6785
angles (deg): 90.00 90.00 90.00
Element x y z (fractional)
P 0.0000 0.0000 0.0000
Os 0.0000 0.0000 0.5000
I 0.5000 0.5000 0.0000
Cl 0.0000 0.5000 0.5000
Cl 0.5000 0.0000 0.5000

Properties
For the calculated total energy, the calculation gives -3.9911 eV per atom.

8.
Entry from Alexandria via LeMat-Bulk: an optimized crystal structure of CaCuPH (GGA-PBE).

a b c (Å): 4.0060 4.0060 4.1568
angles (deg): 90.00 90.00 120.00
Element x y z (fractional)
Ca 0.0000 0.0000 0.0000
Cu 0.6667 0.3333 0.5273
P 0.3333 0.6667 0.4668
H 0.6667 0.3333 0.9218

Properties
For the calculated total energy, the calculation gives -4.2718 eV per atom.

9.
Entry from Alexandria via LeMat-Bulk: an optimized crystal structure of Sc2ReRh (GGA-PBE).

a b c (Å): 8.5891 8.5891 8.5891
angles (deg): 20.74 20.74 20.74
Element x y z (fractional)
Sc 0.2491 0.2491 0.2491
Sc 0.7509 0.7509 0.7509
Re 0.0000 0.0000 0.0000
Rh 0.5000 0.5000 0.5000

Properties
The energy of formation from the pure elements comes out at -0.1709 eV per atom.

10.
Entry from Alexandria via LeMat-Bulk: an optimized crystal structure of NaZr2TaPd (GGA-PBE).

a b c (Å): 5.0643 5.0643 4.7509
angles (deg): 90.00 90.00 90.00
Element x y z (fractional)
Na 0.0000 0.0000 0.0000
Zr 0.0000 0.5000 0.5000
Zr 0.5000 0.0000 0.5000
Ta 0.5000 0.5000 0.0000
Pd 0.0000 0.0000 0.5000

Properties
The energy of formation from the pure elements comes out at 1.0066 eV per atom.

11.
Entry from Alexandria via LeMat-Bulk: an optimized crystal structure of Ac2SmGa (GGA-PBE).

a b c (Å): 3.9336 3.9336 9.0671
angles (deg): 90.00 90.00 90.00
Element x y z (fractional)
Ac 0.0000 0.0000 0.2079
Ac 0.0000 0.0000 0.7921
Sm 0.5000 0.5000 0.5000
Ga 0.5000 0.5000 0.0000

Properties
The energy of formation from the pure elements comes out at -0.1798 eV per atom.

12.
Entry from Alexandria via LeMat-Bulk: an optimized crystal structure of BaSr2GeI8 (GGA-PBE).

a b c (Å): 7.4424 9.8612 7.7532
angles (deg): 90.00 90.06 90.00
Element x y z (fractional)
Ba 0.0000 0.0000 0.0000
Sr 0.5000 0.2626 0.5000
Sr 0.5000 0.7374 0.5000
Ge 0.0000 0.5000 0.0000
I 0.2364 0.2788 0.1519
I 0.2364 0.7212 0.1519
I 0.2416 0.5000 0.6732
I 0.2647 0.0000 0.6372
I 0.7353 0.0000 0.3628
I 0.7584 0.5000 0.3268
I 0.7636 0.2788 0.8481
I 0.7636 0.7212 0.8481

Properties
For the calculated total energy, the calculation gives -3.1877 eV per atom.

no.,DOS at the Fermi energy (states/eV/cell)
1,3.72
2,2.81
3,4.98
4,2.38
5,5.72
6,0.53
7,3.49
8,1.80
9,5.15
10,8.17
11,3.96
12,0.00